DFT (PBE) results for In2PbCl after structural relaxation.

The value obtained for the theoretical density is 7.058 g cm⁻³. Its spin magnetization is 0.000 μB/atom. As for the volume: 27.78 A^3/atom. The uncorrected formation energy comes out at -0.163 eV per atom.

The space group is I-4m2 (No. 119) and the conventional cell measures 5.022, 5.022 and 8.810 Å, with angles of 90.00, 90.00 and 90.00 degrees. The inequivalent atoms are In at (0.000, 0.000, 0.000), In at (0.000, 0.500, 0.250), Pb at (0.000, 0.500, 0.750) and Cl at (0.000, 0.000, 0.500).